# 1
! PBE-GGA AcPu6Ge4, optimized geometry; values from VASP
! * space-group type: No. 187
! * electronic total energy: -10.14 eV per atom
! * calculated formation energy: -274 meV/atom
&SYSTEM
  ibrav = 0, nat = 11, ntyp = 3
/
ATOMIC_SPECIES
Pu 244.00 Pu.upf
Ge 72.64 Ge.upf
Ac 227.00 Ac.upf
CELL_PARAMETERS angstrom
-1.444 -3.269 -2.365
8.002 -1.068 -3.410
-2.258 -4.285 7.303
ATOMIC_POSITIONS crystal
Pu 0.000 0.538 0.075
Pu 0.000 0.538 0.462
Pu 0.000 0.925 0.462
Ge 0.500 0.826 0.651
Pu 0.500 0.204 0.408
Pu 0.500 0.204 0.796
Pu 0.500 0.592 0.796
Ac 0.000 0.000 0.000
Ge 0.500 0.826 0.174
Ge 0.000 0.333 0.667
Ge 0.500 0.349 0.174

# 2
! PBE-GGA LaThGa, optimized geometry; values from VASP
! * space-group type: No. 164
! * electronic total energy: -5.14 eV per atom
! * calculated formation energy: -16 meV/atom
&SYSTEM
  ibrav = 0, nat = 6, ntyp = 3
/
ATOMIC_SPECIES
Th 232.04 Th.upf
Ga 69.72 Ga.upf
La 138.91 La.upf
CELL_PARAMETERS angstrom
4.583 0.000 0.000
-2.292 3.969 0.000
0.000 0.000 11.740
ATOMIC_POSITIONS crystal
Th 0.333 0.667 0.918
Th 0.667 0.333 0.082
Ga 0.667 0.333 0.798
Ga 0.333 0.667 0.202
La 0.000 0.000 0.330
La 0.000 0.000 0.670

# 3
! PBE-GGA PrHfTiN3, optimized geometry; values from VASP
! * space-group type: No. 11
! * electronic total energy: -9.27 eV per atom
! * formation energy from raw total energies: -1.340 eV per atom
&SYSTEM
  ibrav = 0, nat = 12, ntyp = 4
/
ATOMIC_SPECIES
Ti 47.87 Ti.upf
N 14.01 N.upf
Hf 178.49 Hf.upf
Pr 140.91 Pr.upf
CELL_PARAMETERS angstrom
3.249 0.000 0.000
0.000 6.915 0.927
0.000 -1.764 8.083
ATOMIC_POSITIONS crystal
Ti 0.750 0.858 0.421
N 0.250 0.589 0.878
Hf 0.250 0.632 0.128
Pr 0.750 0.856 0.816
N 0.250 0.157 0.837
Ti 0.250 0.142 0.579
N 0.250 0.850 0.559
N 0.750 0.843 0.163
N 0.750 0.150 0.441
Pr 0.250 0.144 0.184
N 0.750 0.411 0.122
Hf 0.750 0.368 0.872